# 1
Material: Ba8PPt3Cl3
Method: DFT, PBE
State: relaxed

Calculated values
**Formation energy from raw total energies**: -1.26 eV per atom
**Magnetic moment**: 0.3 μB per cell
**DOS(E_F)**: 0.565 states/eV/atom

Unit cell a=9.2672 b=9.2672 c=23.1873 alpha=90.00 beta=90.00 gamma=120.00
With the nearest neighbours (Å) after each atom.
Space group R-3m (No. 166, hexagonal axes)
Unique sites:
Ba1 0.0000 0.0000 0.2444 [6 per cell]  3 Pt 3.23, 3 Cl 3.38
Ba2 0.0010 0.5005 0.7598 [18 per cell]  2 Pt 3.17, 1 P 3.18, 2 Cl 3.44
P1 0.0000 0.0000 0.5000 [3 per cell]  6 Ba 3.18
Pt1 0.0000 0.5000 0.5000 [9 per cell]  6 Ba 3.17-3.23
Cl1 0.0000 0.5000 0.0000 [9 per cell]  6 Ba 3.38-3.44

***

# 2
Material: Ba6PPt2Cl2
Method: DFT, PBE
State: relaxed

Calculated values
**Formation energy from raw total energies**: -1.22 eV per atom
**Magnetic moment**: 0.0 μB per cell
**DOS(E_F)**: 0.615 states/eV/atom

Unit cell a=8.1341 b=13.8441 c=8.0985 alpha=90.00 beta=109.59 gamma=90.00
With the nearest neighbours (Å) after each atom.
Space group C2/m (No. 12)
Unique sites:
Ba1 0.2424 0.1664 0.2285 [8 per cell]  2 Pt 3.17-3.23, 1 P 3.19, 2 Cl 3.41-3.43
Ba2 0.2427 0.5000 0.2195 [4 per cell]  1 P 3.17, 2 Pt 3.20, 2 Cl 3.37
P1 0.0000 0.0000 0.0000 [2 per cell]  6 Ba 3.17-3.19
Pt1 0.0000 0.3304 0.0000 [4 per cell]  6 Ba 3.17-3.23
Cl1 0.0000 0.1621 0.5000 [4 per cell]  6 Ba 3.37-3.43

***

# 3
Material: Ba8P3PtCl4
Method: DFT, PBE
State: relaxed

Calculated values
**Formation energy from raw total energies**: -1.57 eV per atom
**Magnetic moment**: 1.5 μB per cell
**DOS(E_F)**: 0.427 states/eV/atom

Unit cell a=16.1012 b=9.2926 c=9.3836 alpha=90.00 beta=124.87 gamma=90.00
With the nearest neighbours (Å) after each atom.
Space group C2/m (No. 12)
Unique sites:
Ba1 0.0095 0.2490 0.2776 [8 per cell]  2 P 3.18, 1 Pt 3.19, 3 Cl 3.42-3.44
Ba2 0.2415 0.0000 0.7248 [4 per cell]  3 P 3.19, 3 Cl 3.42
Ba3 0.2422 0.5000 0.7233 [4 per cell]  2 P 3.18, 1 Pt 3.20, 3 Cl 3.41-3.43
P1 0.0000 0.0000 0.5000 [2 per cell]  6 Ba 3.18-3.19
P2 0.2500 0.2500 0.5000 [4 per cell]  6 Ba 3.18-3.19
Pt1 0.0000 0.5000 0.5000 [2 per cell]  6 Ba 3.19-3.20
Cl1 0.0000 0.0000 0.0000 [2 per cell]  6 Ba 3.41-3.42
Cl2 0.0000 0.5000 0.0000 [2 per cell]  6 Ba 3.42-3.43
Cl3 0.2500 0.2500 0.0000 [4 per cell]  6 Ba 3.42-3.44

***

# 4
Material: BaReP2Cl
Method: DFT, PBE
State: relaxed

Calculated values
**Polymorph energy (0 for the lowest one)**: 2.718 eV/atom
**Formation energy from raw total energies**: 2.18 eV per atom
**Magnetic moment**: 0.6 μB per cell
**DOS(E_F)**: 2.603 states/eV/atom

Unit cell a=5.6622 b=5.6622 c=5.4601 alpha=90.00 beta=90.00 gamma=90.00
With the nearest neighbours (Å) after each atom.
Space group P4/mmm (No. 123)
Unique sites:
Ba1 0.0000 0.0000 0.0000 [1 per cell]  2 Cl 2.73, 4 P 2.83
Re1 0.5000 0.5000 0.5000 [1 per cell]  8 P 3.93, 4 Cl 4.00
P1 0.0000 0.5000 0.0000 [2 per cell]  2 Ba 2.83
Cl1 0.0000 0.0000 0.5000 [1 per cell]  2 Ba 2.73

***

# 5
Material: BaRePCl2
Method: DFT, PBE
State: relaxed

Calculated values
**Polymorph energy (0 for the lowest one)**: 1.341 eV/atom
**Formation energy from raw total energies**: 0.75 eV per atom
**Magnetic moment**: 3.7 μB per cell
**DOS(E_F)**: 0.622 states/eV/atom

Unit cell a=5.8331 b=5.8331 c=6.5459 alpha=90.00 beta=90.00 gamma=90.00
With the nearest neighbours (Å) after each atom.
Space group P4/mmm (No. 123)
Unique sites:
Ba1 0.0000 0.0000 0.0000 [1 per cell]  4 Cl 2.92
Re1 0.5000 0.5000 0.5000 [1 per cell]  4 P 4.12, 8 Cl 4.38
P1 0.0000 0.0000 0.5000 [1 per cell]  2 Ba 3.27
Cl1 0.0000 0.5000 0.0000 [2 per cell]  2 Ba 2.92

***

# 6
Material: BaReP2Cl
Method: DFT, PBE
State: relaxed

Calculated values
**Polymorph energy (0 for the lowest one)**: 0.000 eV/atom
**Formation energy from raw total energies**: -0.54 eV per atom
**Magnetic moment**: 0.0 μB per cell
**DOS(E_F)**: 0.404 states/eV/atom

Unit cell a=4.6266 b=4.6266 c=5.4561 alpha=90.00 beta=90.00 gamma=90.00
With the nearest neighbours (Å) after each atom.
Space group P4/mmm (No. 123)
Unique sites:
Ba1 0.0000 0.0000 0.0000 [1 per cell]  4 Cl 3.27, 8 P 3.58
Re1 0.5000 0.5000 0.5000 [1 per cell]  4 P 2.31
P1 0.0000 0.5000 0.5000 [2 per cell]  2 Re 2.31
Cl1 0.5000 0.5000 0.0000 [1 per cell]  2 Re 2.73

***

# 7
Material: BaRePCl2
Method: DFT, PBE
State: relaxed

Calculated values
**Polymorph energy (0 for the lowest one)**: 0.000 eV/atom
**Formation energy from raw total energies**: -0.59 eV per atom
**Magnetic moment**: 0.4 μB per cell
**DOS(E_F)**: 0.982 states/eV/atom

Unit cell a=5.0730 b=5.0730 c=4.6243 alpha=90.00 beta=90.00 gamma=90.00
With the nearest neighbours (Å) after each atom.
Space group P4/mmm (No. 123)
Unique sites:
Ba1 0.0000 0.0000 0.0000 [1 per cell]  8 Cl 3.43, 4 P 3.59
Re1 0.5000 0.5000 0.5000 [1 per cell]  2 P 2.31, 4 Cl 2.54
P1 0.5000 0.5000 0.0000 [1 per cell]  2 Re 2.31
Cl1 0.0000 0.5000 0.5000 [2 per cell]  2 Re 2.54

***

# 8
Material: BaP2RhCl
Method: DFT, PBE
State: relaxed

Calculated values
**Polymorph energy (0 for the lowest one)**: 1.916 eV/atom
**Formation energy from raw total energies**: 1.28 eV per atom
**Magnetic moment**: 6.0 μB per cell
**DOS(E_F)**: 2.901 states/eV/atom

Unit cell a=6.2987 b=6.2987 c=5.8062 alpha=90.00 beta=90.00 gamma=90.00
With the nearest neighbours (Å) after each atom.
Space group P4/mmm (No. 123)
Unique sites:
Ba1 0.0000 0.0000 0.0000 [1 per cell]  2 Cl 2.90, 4 P 3.15
P1 0.0000 0.5000 0.0000 [2 per cell]  2 Ba 3.15
Rh1 0.5000 0.5000 0.5000 [1 per cell]  8 P 4.28, 4 Cl 4.45
Cl1 0.0000 0.0000 0.5000 [1 per cell]  2 Ba 2.90

***

# 9
Material: Ba8P3RhCl4
Method: DFT, PBE
State: relaxed

Calculated values
**Formation energy from raw total energies**: -1.52 eV per atom
**Magnetic moment**: 0.0 μB per cell

Unit cell a=9.2431 b=9.2431 c=23.2097 alpha=90.00 beta=90.00 gamma=120.00
With the nearest neighbours (Å) after each atom.
Space group R-3m (No. 166, hexagonal axes)
Unique sites:
Ba1 0.0000 0.0000 0.2412 [6 per cell]  3 P 3.18, 3 Cl 3.42
Ba2 0.0044 0.5022 0.2394 [18 per cell]  1 Rh 3.13, 2 P 3.17, 3 Cl 3.43-3.47
P1 0.0000 0.5000 0.5000 [9 per cell]  6 Ba 3.17-3.18
Rh1 0.0000 0.0000 0.5000 [3 per cell]  6 Ba 3.13
Cl1 0.0000 0.0000 0.0000 [3 per cell]  6 Ba 3.47
Cl2 0.0000 0.5000 0.0000 [9 per cell]  6 Ba 3.42-3.43

***

# 10
Material: BaP2RhCl
Method: DFT, PBE
State: relaxed

Calculated values
**Polymorph energy (0 for the lowest one)**: 0.000 eV/atom
**Formation energy from raw total energies**: -0.64 eV per atom
**Magnetic moment**: 0.0 μB per cell
**DOS(E_F)**: 0.593 states/eV/atom

Unit cell a=4.4988 b=4.4988 c=6.4614 alpha=90.00 beta=90.00 gamma=90.00
With the nearest neighbours (Å) after each atom.
Space group P4/mmm (No. 123)
Unique sites:
Ba1 0.0000 0.0000 0.0000 [1 per cell]  4 Cl 3.18
P1 0.0000 0.5000 0.5000 [2 per cell]  2 Rh 2.25
Rh1 0.5000 0.5000 0.5000 [1 per cell]  4 P 2.25
Cl1 0.5000 0.5000 0.0000 [1 per cell]  4 Ba 3.18, 2 Rh 3.23

***

# 11
Material: BaP2RuCl
Method: DFT, PBE
State: relaxed

Calculated values
**Polymorph energy (0 for the lowest one)**: 0.000 eV/atom
**Formation energy from raw total energies**: -0.59 eV per atom
**Magnetic moment**: 0.0 μB per cell
**DOS(E_F)**: 0.905 states/eV/atom

Unit cell a=4.5591 b=4.5591 c=5.7147 alpha=90.00 beta=90.00 gamma=90.00
With the nearest neighbours (Å) after each atom.
Space group P4/mmm (No. 123)
Unique sites:
Ba1 0.0000 0.0000 0.0000 [1 per cell]  4 Cl 3.22
P1 0.0000 0.5000 0.5000 [2 per cell]  2 Ru 2.28
Ru1 0.5000 0.5000 0.5000 [1 per cell]  4 P 2.28
Cl1 0.5000 0.5000 0.0000 [1 per cell]  2 Ru 2.86

***

# 12
Material: BaP2RuCl
Method: DFT, PBE
State: relaxed

Calculated values
**Polymorph energy (0 for the lowest one)**: 2.062 eV/atom
**Formation energy from raw total energies**: 1.47 eV per atom
**Magnetic moment**: 5.4 μB per cell
**DOS(E_F)**: 1.614 states/eV/atom

Unit cell a=5.8918 b=5.8918 c=5.6840 alpha=90.00 beta=90.00 gamma=90.00
With the nearest neighbours (Å) after each atom.
Space group P4/mmm (No. 123)
Unique sites:
Ba1 0.0000 0.0000 0.0000 [1 per cell]  2 Cl 2.84, 4 P 2.95
P1 0.0000 0.5000 0.0000 [2 per cell]  2 Ba 2.95
Ru1 0.5000 0.5000 0.5000 [1 per cell]  8 P 4.09, 4 Cl 4.17
Cl1 0.0000 0.0000 0.5000 [1 per cell]  2 Ba 2.84